DFT (PBE-GGA) results for crystalline YTcSn2Te at its relaxed geometry.

DOS at the Fermi energy ... 5.1 states/eV/cell
Formation energy without anion corrections ... 5.45 eV per formula unit

```
YTcSn2Te
1.0
5.823 0.000 0.000
0.000 5.823 0.000
0.000 0.000 4.989
Y Tc Sn Te
1 1 2 1
Cartesian
0.000 0.000 0.000 Y
0.000 0.000 2.495 Tc
0.000 2.911 0.000 Sn
2.911 0.000 0.000 Sn
2.911 2.911 2.495 Te
```


DFT (PBE-GGA) results for crystalline Th5Tc2Sn2 at its relaxed geometry.

DOS at the Fermi energy ... 20.5 states/eV/cell
Energy of formation ... -192 meV/atom

```
Th5Tc2Sn2
1.0
-8.482 4.639 3.242
8.482 -4.639 3.242
8.482 4.639 -3.242
Th Tc Sn
10 4 4
Cartesian
2.511 -0.975 1.311 Th
5.971 -0.975 1.311 Th
1.042 1.988 0.000 Th
7.440 1.988 0.000 Th
5.971 5.614 -1.931 Th
10.993 0.975 1.311 Th
4.241 3.862 1.314 Th
1.042 2.651 3.242 Th
7.440 2.651 3.242 Th
4.241 0.777 4.556 Th
12.723 -1.141 1.173 Tc
0.000 0.000 1.894 Tc
8.482 0.000 1.894 Tc
4.241 1.141 1.173 Tc
-1.373 4.004 1.211 Sn
1.373 -0.635 4.453 Sn
1.373 5.274 1.211 Sn
7.109 5.274 1.211 Sn
```


DFT (PBE-GGA) results for crystalline Th3TcSn2 at its relaxed geometry.

DOS at the Fermi energy ... 21.1 states/eV/cell
Energy of formation ... -427 meV/atom
Relative energy among the computed polymorphs ... 0.00 kJ per mole of atoms

```
Th3TcSn2
1.0
12.972 0.000 0.000
0.000 4.594 0.000
0.000 0.000 11.357
Th Tc Sn
12 4 8
Cartesian
0.723 1.148 1.292 Th
1.580 3.445 6.227 Th
3.217 1.148 8.861 Th
3.269 3.445 3.183 Th
4.906 1.148 0.549 Th
5.763 3.445 6.971 Th
7.210 1.148 4.386 Th
8.066 3.445 10.808 Th
9.703 1.148 8.175 Th
9.755 3.445 2.496 Th
11.392 1.148 5.130 Th
12.249 3.445 10.065 Th
1.514 1.148 3.989 Tc
4.972 3.445 9.668 Tc
8.001 1.148 1.689 Tc
11.458 3.445 7.368 Tc
0.062 1.148 7.939 Sn
2.560 3.445 11.207 Sn
3.926 1.148 5.528 Sn
6.424 3.445 2.260 Sn
6.548 1.148 9.097 Sn
9.046 3.445 5.829 Sn
10.412 1.148 0.150 Sn
12.910 3.445 3.418 Sn
```


DFT (PBE-GGA) results for crystalline Th4TcSn2 at its relaxed geometry.

DOS at the Fermi energy ... 12.3 states/eV/cell
Energy of formation ... -309 meV/atom

```
Th4TcSn2
1.0
6.218 0.000 0.000
0.000 6.692 0.000
-1.663 0.000 9.804
Th Tc Sn
8 2 4
Cartesian
0.909 1.673 0.897 Th
0.318 3.382 7.191 Th
0.318 6.656 7.191 Th
1.158 5.019 4.063 Th
3.397 1.673 5.741 Th
4.237 0.036 2.613 Th
4.237 3.310 2.613 Th
3.646 5.019 8.907 Th
-0.006 5.019 1.710 Tc
4.560 1.673 8.094 Tc
0.427 1.673 4.259 Sn
2.322 5.019 0.312 Sn
2.233 1.673 9.492 Sn
4.128 5.019 5.545 Sn
```


DFT (PBE-GGA) results for crystalline ThTc4Sn at its relaxed geometry.

DOS at the Fermi energy ... 6.8 states/eV/cell
Energy of formation ... 72 meV/atom

```
ThTc4Sn
1.0
0.000 3.825 3.825
3.825 0.000 3.825
3.825 3.825 0.000
Th Tc Sn
1 4 1
Cartesian
0.000 0.000 0.000 Th
2.885 2.885 2.885 Tc
4.765 4.765 2.885 Tc
4.765 2.885 4.765 Tc
2.885 4.765 4.765 Tc
5.737 5.737 5.737 Sn
```


DFT (PBE-GGA) results for crystalline Th3TcSn2 at its relaxed geometry.

DOS at the Fermi energy ... 10.7 states/eV/cell
Energy of formation ... -209 meV/atom
Relative energy among the computed polymorphs ... 21.11 kJ per mole of atoms

```
Th3TcSn2
1.0
7.261 -3.106 0.000
7.261 3.106 0.000
-2.408 0.000 8.005
Th Tc Sn
6 2 4
Cartesian
5.455 2.897 6.004 Th
3.032 0.011 7.463 Th
4.236 -0.011 3.460 Th
7.879 0.011 4.545 Th
9.083 -0.011 0.543 Th
6.659 -2.897 2.001 Th
5.455 0.184 6.004 Tc
6.659 -0.184 2.001 Tc
1.226 0.011 4.737 Sn
2.430 -0.011 0.735 Sn
9.684 0.011 7.270 Sn
10.888 -0.011 3.268 Sn
```


DFT (PBE-GGA) results for crystalline Th7Tc2Sn2 at its relaxed geometry.

DOS at the Fermi energy ... 13.1 states/eV/cell
Energy of formation ... -247 meV/atom
Relative energy among the computed polymorphs ... 0.00 kJ per mole of atoms

```
Th7Tc2Sn2
1.0
-1.917 8.219 5.073
1.917 -8.219 5.073
1.917 8.219 -5.073
Th Tc Sn
7 2 2
Cartesian
0.000 0.000 0.000 Th
1.917 6.007 -0.681 Th
1.917 2.956 1.370 Th
0.000 2.212 4.392 Th
0.000 5.681 2.752 Th
0.000 10.757 2.752 Th
0.000 5.263 6.443 Th
1.917 -4.447 4.547 Tc
1.917 4.447 4.547 Tc
1.917 0.000 2.763 Sn
0.000 0.000 6.833 Sn
```


DFT (PBE-GGA) results for crystalline Th7Tc2Sn2 at its relaxed geometry.

DOS at the Fermi energy ... 10.6 states/eV/cell
Energy of formation ... -116 meV/atom
Relative energy among the computed polymorphs ... 12.59 kJ per mole of atoms

```
Th7Tc2Sn2
1.0
4.239 -5.628 0.000
4.239 5.628 0.000
0.000 0.000 7.018
Th Tc Sn
7 2 2
Cartesian
0.000 0.000 0.000 Th
2.119 2.814 1.812 Th
2.119 2.814 5.205 Th
2.119 -2.814 1.812 Th
2.119 -2.814 5.205 Th
4.239 0.000 1.731 Th
4.239 0.000 5.287 Th
4.239 2.482 0.000 Tc
4.239 -2.482 0.000 Tc
1.443 0.000 3.509 Sn
7.035 0.000 3.509 Sn
```


DFT (PBE-GGA) results for crystalline Th6TcSn3 at its relaxed geometry.

DOS at the Fermi energy ... 19.0 states/eV/cell
Energy of formation ... -248 meV/atom

```
Th6TcSn3
1.0
5.689 3.285 5.388
-5.689 3.285 5.388
0.000 -6.570 5.388
Th Tc Sn
12 2 6
Cartesian
0.000 -4.375 3.789 Th
-3.789 2.187 3.789 Th
0.000 -2.204 6.420 Th
-1.908 1.102 6.420 Th
-3.789 -2.187 12.374 Th
-1.908 -1.102 9.744 Th
1.908 1.102 6.420 Th
3.789 2.187 3.789 Th
1.908 -1.102 9.744 Th
0.000 2.204 9.744 Th
3.789 -2.187 12.374 Th
0.000 4.375 12.374 Th
0.000 0.000 0.000 Tc
0.000 0.000 8.082 Tc
-3.494 -2.017 6.792 Sn
0.000 -4.034 9.371 Sn
-3.494 2.017 9.371 Sn
3.494 -2.017 6.792 Sn
0.000 4.034 6.792 Sn
3.494 2.017 9.371 Sn
```


DFT (PBE-GGA) results for crystalline Th3Tc2Sn at its relaxed geometry.

DOS at the Fermi energy ... 12.6 states/eV/cell
Energy of formation ... -185 meV/atom
Relative energy among the computed polymorphs ... 6.31 kJ per mole of atoms

```
Th3Tc2Sn
1.0
8.023 -2.324 0.000
8.023 2.324 0.000
-2.687 0.000 8.251
Th Tc Sn
6 4 2
Cartesian
0.626 0.000 1.706 Th
1.962 0.000 5.812 Th
5.914 0.000 1.068 Th
7.445 0.000 7.183 Th
11.396 0.000 2.439 Th
12.733 0.000 6.546 Th
-0.792 0.000 5.344 Tc
2.916 0.000 0.370 Tc
10.442 0.000 7.881 Tc
14.151 0.000 2.907 Tc
5.121 0.000 4.336 Sn
8.238 0.000 3.915 Sn
```


DFT (PBE-GGA) results for crystalline Th5Tc2Sn at its relaxed geometry.

DOS at the Fermi energy ... 16.4 states/eV/cell
Energy of formation ... -300 meV/atom

```
Th5Tc2Sn
1.0
-4.013 4.013 6.790
4.013 -4.013 6.790
4.013 4.013 -6.790
Th Tc Sn
10 4 2
Cartesian
0.000 0.000 0.000 Th
5.282 1.268 -1.845 Th
1.268 2.745 -1.845 Th
5.282 1.268 1.845 Th
1.268 2.745 1.845 Th
0.000 0.000 6.790 Th
2.745 1.268 4.945 Th
-1.268 2.745 4.945 Th
2.745 1.268 8.635 Th
-1.268 2.745 8.635 Th
2.892 1.121 0.000 Tc
2.892 -1.121 6.790 Tc
1.121 5.134 0.000 Tc
1.121 2.892 6.790 Tc
0.000 0.000 3.395 Sn
0.000 0.000 10.185 Sn
```


DFT (PBE-GGA) results for crystalline Th8TcSn2 at its relaxed geometry.

DOS at the Fermi energy ... 13.6 states/eV/cell
Energy of formation ... -142 meV/atom

```
Th8TcSn2
1.0
9.240 -2.780 0.000
9.240 2.780 0.000
-2.262 0.000 6.441
Th Tc Sn
8 1 2
Cartesian
-0.483 0.000 1.537 Th
3.784 0.000 0.825 Th
5.059 0.000 4.432 Th
6.993 0.000 1.629 Th
9.224 0.000 4.812 Th
11.158 0.000 2.009 Th
12.433 0.000 5.616 Th
16.700 0.000 4.904 Th
9.240 0.000 0.000 Tc
1.756 0.000 3.963 Sn
14.461 0.000 2.478 Sn
```